Record 1
Ag5C3 | PBE-GGA | optimized geometry

Structure (POSCAR):
```
Ag5C3
1.0
-4.140 -4.313 -1.785
5.487 -1.748 2.401
-2.813 0.030 6.451
C Ag
6 10
Direct
0.395 0.000 0.750
0.395 0.395 0.250
0.000 0.395 0.750
0.605 0.000 0.250
0.000 0.605 0.250
0.605 0.605 0.750
0.667 0.333 0.500
0.741 0.000 0.750
0.333 0.667 0.500
0.667 0.333 0.000
0.259 0.259 0.750
0.000 0.741 0.750
0.000 0.259 0.250
0.259 0.000 0.250
0.741 0.741 0.250
0.333 0.667 0.000
```

Values from the calculation:
- ΔE_f: 156.08 kJ/mol of atoms
- Symmetry: P6_3/mcm (193)
- Polymorph energy (0 for the lowest one): 0 meV per atom

***

Record 2
AgC | PBE-GGA | optimized geometry

Structure (POSCAR):
```
AgC
1.0
-0.385 0.158 6.051
4.339 -4.221 0.386
4.221 4.353 0.155
C Ag
6 6
Direct
0.500 0.750 0.000
0.500 0.250 0.000
0.250 0.000 0.500
0.000 0.500 0.250
0.750 0.000 0.500
0.000 0.500 0.750
0.000 0.750 0.500
0.500 0.000 0.750
0.000 0.250 0.500
0.750 0.500 0.000
0.250 0.500 0.000
0.500 0.000 0.250
```

Values from the calculation:
- ΔE_f: 227.16 kJ/mol of atoms
- Symmetry: Pm-3n (223)
- Polymorph energy (0 for the lowest one): 1950 meV per atom

***

Record 3
Ag5C3 | PBE-GGA | optimized geometry

Structure (POSCAR):
```
Ag5C3
1.0
8.842 0.000 0.000
4.421 5.270 -0.009
4.421 -2.141 4.814
C Ag
6 10
Direct
0.333 0.831 0.167
0.750 0.250 0.250
0.250 0.750 0.750
0.169 0.331 0.667
0.669 0.166 0.831
0.833 0.666 0.331
0.284 0.566 0.435
0.065 0.784 0.216
0.715 0.434 0.566
0.784 0.934 0.066
0.434 0.284 0.716
0.934 0.216 0.785
0.215 0.066 0.935
0.750 0.750 0.750
0.565 0.716 0.285
0.250 0.250 0.250
```

Values from the calculation:
- ΔE_f: 163.78 kJ/mol of atoms
- Symmetry: I4cm (108)
- Polymorph energy (0 for the lowest one): 80 meV per atom

***

> Which of these has the highest ΔE_f?

AgC

***

> What is the formula in the second record?

AgC

***

> Among the records above, which one has the lowest polymorph energy (0 for the lowest one)?

number 1